Entry from Alexandria via LeMat-Bulk: an optimized crystal structure of CaFe2F6 (GGA+U).

Cell: 9.9365 11.0227 6.3230 Å, 90.00 115.47 90.00°
Last column: nearest neighbours and their distance in Å.
Space group C2/c (No. 15)
One atom of each set of equivalent atoms:
Ca 0.0000 0.0851 0.2500 [4 per cell]  6 F 2.25-2.32
Fe 0.1401 0.4056 0.1774 [8 per cell]  4 F 1.92-2.09
F 0.1059 0.4439 0.4748 [8 per cell]  3 Fe 2.03-2.25
F 0.1274 0.2321 0.1682 [8 per cell]  1 Fe 1.92
F 0.1377 0.0532 0.6473 [8 per cell]  1 Fe 2.05

Computed properties:
Electronic total energy ... -200.7 eV/cell